Entry 1:
A plane-wave DFT calculation with PBE was carried out for an optimized crystal structure of CaDy2Tl.

abc: 4.8586 4.9238 4.9238
angles: 90.00 90.00 90.00
Element x y z (fractional)
Dy 0.0000 0.5000 0.0000
Tl 0.5000 0.0000 0.0000
Dy 0.0000 0.0000 0.5000
Ca 0.5000 0.5000 0.5000

Values from the calculation:
Volume (Å³ per cell): 117.8
E above lowest polymorph (meV/atom): 0.0
Density (g/cm3): 8.028
Magnetic moment (μB per formula unit): 0.0
SG: P4/mmm (123)
Formation energy from the elements (eV/atom): -0.14

Entry 2:
A plane-wave DFT calculation with PBE was carried out for an optimized crystal structure of CaGe2Mo2.

abc: 4.0077 4.0077 6.5481
angles: 72.18 72.18 90.00
Element x y z (fractional)
Mo 0.2500 0.7500 0.5000
Ge 0.6088 0.6088 0.7824
Ge 0.3912 0.3912 0.2176
Ca 0.0000 0.0000 0.0000
Mo 0.7500 0.2500 0.5000

Values from the calculation:
Volume (Å³ per cell): 94.8
E above lowest polymorph (meV/atom): 0.0
Density (g/cm3): 6.607
Magnetic moment (μB per formula unit): 0.0
SG: I4/mmm (139)
Formation energy from the elements (eV/atom): -0.25

Entry 3:
A plane-wave DFT calculation with PBE was carried out for an optimized crystal structure of CsCoAg3.

abc: 6.0477 6.0477 6.0477
angles: 90.00 90.00 90.00
Element x y z (fractional)
Ag 0.0000 0.0000 0.5000
Ag 0.0000 0.5000 0.0000
Co 0.5000 0.5000 0.5000
Ag 0.5000 0.0000 0.0000
Cs 0.0000 0.0000 0.0000

Values from the calculation:
Volume (Å³ per cell): 221.2
E above lowest polymorph (meV/atom): 1304.2
Density (g/cm3): 3.870
Magnetic moment (μB per formula unit): 2.3
SG: Pm-3m (221)
Formation energy from the elements (eV/atom): 1.92

Entry 4:
A plane-wave DFT calculation with PBE was carried out for an optimized crystal structure of Sm7Y4Er.

abc: 6.0035 11.6601 6.7346
angles: 84.01 63.53 75.08
Element x y z (fractional)
Sm 0.9366 0.3171 0.8096
Sm 0.7891 0.9228 0.4990
Y 0.2398 0.3217 0.1986
Y 0.3585 0.7764 0.5067
Sm 0.0634 0.6829 0.1904
Y 0.7602 0.6783 0.8014
Sm 0.2109 0.0772 0.5010
Er 0.0000 0.0000 0.0000
Sm 0.3695 0.4999 0.7611
Sm 0.5000 0.0000 0.0000
Y 0.6415 0.2236 0.4933
Sm 0.6305 0.5001 0.2389

Values from the calculation:
Volume (Å³ per cell): 407.8
E above lowest polymorph (meV/atom): 261.3
Density (g/cm3): 6.416
Magnetic moment (μB per formula unit): 0.0
SG: C2/m (12)
Formation energy from the elements (eV/atom): 0.26

> Which of these has the highest density?

CaDy2Tl

> What is the magnetic moment in the first record?

0.0 μB per formula unit